This record from Alexandria describes an optimized crystal structure of Ac2FeCuO5. The functional is PBE with a Hubbard U.

Cell lengths 3.850, 3.850, 8.784 Å; angles 90.00, 90.00, 90.00 degrees
Atoms (fractional coordinates):
1 Ac 0.000 0.000 0.220
2 Ac 0.000 0.000 0.780
3 Fe 0.500 0.500 0.500
4 Cu 0.500 0.500 0.000
5 O 0.000 0.000 0.500
6 O 0.000 0.500 0.000
7 O 0.500 0.000 0.000
8 O 0.500 0.500 0.280
9 O 0.500 0.500 0.720

Results
* SG: P4/mmm
* size of the total moment: 3.85 Bohr magnetons per cell
* electronic total energy: -6.973 eV per atom
* DOS at the Fermi energy: 1.314 states/eV/f.u.